No. 1
SmPuClO4 | PBE | optimized geometry

Unit cell a=12.1911 b=7.0971 c=6.6587 alpha=90.00 beta=110.93 gamma=90.00
Space group C2/m (No. 12)
Symmetry-distinct sites (fractional):
Sm: 0.2087 0.0000 0.0743
Pu: 0.1280 0.5000 0.2302
Cl: 0.0289 0.0000 0.2553
O: 0.0782 0.5000 0.9142
O: 0.1692 0.5000 0.5262
O: 0.2440 0.3076 0.1948

Values from the calculation:
The value obtained for the raw formation energy is -2.51 eV/atom. The total magnetization comes out at 8.0 Bohr magnetons per cell.


No. 2
Sr3PuCl2O6 | PBE | optimized geometry

Unit cell a=12.8959 b=6.9965 c=5.4710 alpha=90.00 beta=95.53 gamma=90.00
Space group C2/m (No. 12)
Symmetry-distinct sites (fractional):
Sr: 0.0000 0.0000 0.0000
Sr: 0.2500 0.2500 0.5000
Pu: 0.0000 0.5000 0.5000
Cl: 0.2062 0.0000 0.8867
O: 0.0572 0.2861 0.3067
O: 0.1425 0.5000 0.6670

Values from the calculation:
The value obtained for the raw formation energy is -2.37 eV/atom. The total magnetization comes out at 0.3 Bohr magnetons per cell.


No. 3
Tb3PuCl2O6 | PBE | optimized geometry

Unit cell a=12.0947 b=6.7798 c=5.4498 alpha=90.00 beta=101.38 gamma=90.00
Space group C2/m (No. 12)
Symmetry-distinct sites (fractional):
Tb: 0.0000 0.0000 0.0000
Tb: 0.2500 0.2500 0.5000
Pu: 0.0000 0.5000 0.5000
Cl: 0.1985 0.0000 0.8423
O: 0.0659 0.2511 0.2924
O: 0.1722 0.5000 0.6646

Values from the calculation:
The value obtained for the raw formation energy is -2.82 eV/atom. The total magnetization comes out at 6.0 Bohr magnetons per cell.